Entry from Alexandria: a relaxed Dy4PtAu3 crystal (PBE).

Cell lengths 3.754, 4.652, 10.810 Å; angles 90.00, 90.00, 90.00 degrees
Fractional positions:
Dy: 0.000 0.000 0.000
Dy: 0.000 0.500 0.267
Dy: 0.500 0.000 0.483
Dy: 0.500 0.500 0.770
Pt: 0.500 0.000 0.218
Au: 0.000 0.000 0.719
Au: 0.000 0.500 0.542
Au: 0.500 0.500 0.043

The calculation puts the raw total energy at -5.2780 eV/atom.


Entry from Alexandria: a relaxed CsOs2Cl crystal (PBE).

Cell lengths 5.026, 5.026, 16.225 Å; angles 90.00, 90.00, 90.00 degrees
Fractional positions:
Cs: 0.000 0.000 0.000
Cs: 0.000 0.500 0.250
Cs: 0.500 0.000 0.750
Cs: 0.500 0.500 0.500
Os: 0.026 0.750 0.625
Os: 0.250 0.026 0.375
Os: 0.250 0.474 0.875
Os: 0.474 0.750 0.125
Os: 0.526 0.250 0.125
Os: 0.750 0.526 0.875
Os: 0.750 0.974 0.375
Os: 0.974 0.250 0.625
Cl: 0.000 0.000 0.500
Cl: 0.000 0.500 0.750
Cl: 0.500 0.000 0.250
Cl: 0.500 0.500 0.000

The energy relative to the elements, uncorrected is 1338.9 meV/atom.


Entry from Alexandria: a relaxed Rb2AcAgBr6 crystal (PBE).

Cell lengths 8.036, 8.421, 13.791 Å; angles 90.00, 124.89, 90.00 degrees
Fractional positions:
Rb: 0.225 0.071 0.248
Rb: 0.225 0.429 0.748
Rb: 0.775 0.571 0.252
Rb: 0.775 0.929 0.752
Ac: 0.500 0.000 0.000
Ac: 0.500 0.500 0.500
Ag: 0.000 0.000 0.500
Ag: 0.000 0.500 0.000
Br: 0.146 0.202 0.950
Br: 0.146 0.298 0.450
Br: 0.252 0.701 0.952
Br: 0.252 0.799 0.452
Br: 0.337 0.025 0.740
Br: 0.337 0.475 0.240
Br: 0.663 0.525 0.760
Br: 0.663 0.975 0.260
Br: 0.748 0.201 0.548
Br: 0.748 0.299 0.048
Br: 0.854 0.702 0.550
Br: 0.854 0.798 0.050

The energy relative to the elements, uncorrected is -1580.0 meV/atom.


Entry from Alexandria: a relaxed Nb2CrPdAu crystal (PBE).

Cell lengths 4.946, 4.946, 4.560 Å; angles 90.00, 90.00, 90.00 degrees
Fractional positions:
Nb: 0.000 0.500 0.000
Nb: 0.500 0.000 0.000
Cr: 0.000 0.000 0.500
Pd: 0.500 0.500 0.500
Au: 0.000 0.000 0.000

The calculation puts the raw total energy at -5.9118 eV/atom.


no.,V (Å³/atom)
1,23.6
2,25.6
3,38.3
4,22.3